(1)
Here is an optimized crystal structure of LaTcSb2 from Alexandria via LeMat-Bulk. Energies are from PBE-GGA.

Calculated values
* uncorrected formation energy: 0.01 eV/atom
* SG: No. 119

Cell lengths 4.4497, 4.4497, 9.9528 Å; angles 90.00, 90.00, 90.00 degrees
With the nearest neighbours (Å) after each atom.
Sites, in units of the cell vectors:
La 0.0000 0.0000 0.0000  8 Sb 3.15-3.34, 4 Tc 3.34
La 0.5000 0.5000 0.5000  8 Sb 3.15-3.34, 4 Tc 3.34
Tc 0.0000 0.5000 0.2500  8 Sb 3.15-3.34, 4 La 3.34
Tc 0.5000 0.0000 0.7500  8 Sb 3.15-3.34, 4 La 3.34
Sb 0.0000 0.0000 0.5000  4 La 3.15, 4 Sb 3.34, 4 Tc 3.34
Sb 0.0000 0.5000 0.7500  4 Tc 3.15, 4 La 3.34, 4 Sb 3.34
Sb 0.5000 0.0000 0.2500  4 Tc 3.15, 4 Sb 3.34, 4 La 3.34
Sb 0.5000 0.5000 0.0000  4 La 3.15, 4 Tc 3.34, 4 Sb 3.34

---

(2)
Here is an optimized crystal structure of Er6Tm2Ru from Alexandria via LeMat-Bulk. Energies are from PBE-GGA.

Calculated values
* E_form: -7 kJ/mol of atoms
* SG: No. 10

Cell lengths 8.5260, 3.6119, 8.6105 Å; angles 90.00, 93.34, 90.00 degrees
With the nearest neighbours (Å) after each atom.
Sites, in units of the cell vectors:
Er 0.0371 0.0000 0.1985  1 Ru 2.63
Er 0.2350 0.5000 0.5534  2 Ru 2.72
Er 0.4440 0.0000 0.2796  4 Tm 3.41-3.61, 7 Er 3.50-3.61
Er 0.5560 0.0000 0.7204  4 Tm 3.41-3.61, 7 Er 3.50-3.61
Er 0.7650 0.5000 0.4466  2 Ru 2.72
Er 0.9629 0.0000 0.8015  1 Ru 2.63
Tm 0.2999 0.5000 0.9663  9 Er 3.41-3.61, 3 Tm 3.43-3.61
Tm 0.7001 0.5000 0.0337  9 Er 3.41-3.61, 3 Tm 3.43-3.61
Ru 0.0000 0.0000 0.5000  6 Er 2.63-2.72

---

(3)
Here is an optimized crystal structure of SnMoPd6 from Alexandria via LeMat-Bulk. Energies are from PBE-GGA.

Calculated values
* E_form: -23 kJ/mol of atoms
* SG: No. 123

Cell lengths 3.9833, 3.9833, 8.0250 Å; angles 90.00, 90.00, 90.00 degrees
With the nearest neighbours (Å) after each atom.
Sites, in units of the cell vectors:
Sn 0.0000 0.0000 0.0000  12 Pd 2.82-2.89
Mo 0.0000 0.0000 0.5000  12 Pd 2.76-2.82
Pd 0.0000 0.5000 0.2615  2 Mo 2.76, 8 Pd 2.76-2.89, 2 Sn 2.89
Pd 0.0000 0.5000 0.7385  2 Mo 2.76, 8 Pd 2.76-2.89, 2 Sn 2.89
Pd 0.5000 0.0000 0.2615  2 Mo 2.76, 8 Pd 2.76-2.89, 2 Sn 2.89
Pd 0.5000 0.0000 0.7385  2 Mo 2.76, 8 Pd 2.76-2.89, 2 Sn 2.89
Pd 0.5000 0.5000 0.0000  4 Sn 2.82, 8 Pd 2.89
Pd 0.5000 0.5000 0.5000  8 Pd 2.76, 4 Mo 2.82

---

(4)
Here is an optimized crystal structure of BaScTe2 from Alexandria via LeMat-Bulk. Energies are from PBE-GGA.

Calculated values
* uncorrected formation energy: -1.24 eV/atom
* SG: No. 123

Cell lengths 5.7285, 5.7285, 4.4399 Å; angles 90.00, 90.00, 90.00 degrees
With the nearest neighbours (Å) after each atom.
Sites, in units of the cell vectors:
Ba 0.0000 0.0000 0.0000  8 Te 3.62
Sc 0.5000 0.5000 0.5000  4 Te 2.86
Te 0.0000 0.5000 0.5000  2 Sc 2.86
Te 0.5000 0.0000 0.5000  2 Sc 2.86